a | A geometry-optimized ErZrNO structure, computed with GGA-PBE.

Structure (extended XYZ):
```
8
Lattice="-1.098 -3.107 -2.506 3.986 -0.719 -0.856 0.405 -5.168 6.230" Properties=species:S:1:pos:R:3 pbc="T T T"
Er 0.767 -1.535 -0.143
Er 2.526 -7.459 3.011
N 2.336 -5.039 0.095
N 0.957 -3.954 2.773
O 0.173 -2.510 -2.093
O 2.715 -1.316 -1.268
Zr 0.375 -5.094 1.022
Zr 2.918 -3.900 1.847
```

Total magnetization, μB per atom: 0.00

***

b | A geometry-optimized ErZrNO structure, computed with GGA-PBE.

Structure (extended XYZ):
```
8
Lattice="-3.125 2.131 -1.069 -2.366 -2.990 0.957 -0.561 2.681 6.984" Properties=species:S:1:pos:R:3 pbc="T T T"
Er -0.281 1.340 3.492
Er -3.027 0.911 3.436
N -1.745 1.938 1.737
N -1.562 0.314 5.191
O 0.000 0.000 0.000
O -2.746 -0.429 -0.056
Zr -1.256 -1.147 1.385
Zr -2.051 3.398 5.543
```

Total magnetization, μB per atom: 0.00

***

Which of them is most stable? Easy: a.

***

a | A geometry-optimized ErZrNO structure, computed with GGA-PBE.

Structure (extended XYZ):
```
16
Lattice="6.511 0.000 0.000 0.000 7.852 0.000 0.000 0.000 4.659" Properties=species:S:1:pos:R:3 pbc="T T T"
Er 3.626 2.951 0.236
Er 0.370 4.901 0.236
Er 6.141 2.951 2.566
Er 2.885 4.901 2.566
N 2.786 0.870 0.236
N 6.042 6.983 0.236
N 0.470 0.870 2.566
N 3.725 6.983 2.566
O 5.870 2.812 0.235
O 2.614 5.040 0.235
O 3.897 2.812 2.565
O 0.641 5.040 2.565
Zr 0.605 0.987 0.236
Zr 3.861 6.866 0.236
Zr 2.650 0.987 2.565
Zr 5.906 6.866 2.565
```

Total magnetization, μB per atom: 0.00

***

b | A geometry-optimized ErZrNO structure, computed with GGA-PBE.

Structure (extended XYZ):
```
8
Lattice="3.563 0.000 0.000 0.000 5.852 0.000 0.000 0.000 6.185" Properties=species:S:1:pos:R:3 pbc="T T T"
Er 0.000 3.024 2.016
Er 0.000 0.098 4.169
N 0.000 5.408 1.995
N 0.000 2.482 4.190
O 1.781 1.996 1.290
O 1.781 4.922 4.895
Zr 1.781 5.688 0.831
Zr 1.781 2.762 5.354
```

Total magnetization, μB per atom: 0.13

***

Which of them is most stable? Easy: a.

***

a | A geometry-optimized ErZrNO structure, computed with GGA-PBE.

Structure (extended XYZ):
```
16
Lattice="4.719 0.000 0.000 0.000 6.412 0.000 0.000 0.000 7.925" Properties=species:S:1:pos:R:3 pbc="T T T"
Er 0.239 0.519 1.056
Er 2.599 2.687 1.056
Er 0.239 3.725 6.869
Er 2.599 5.892 6.869
N 2.598 0.380 1.038
N 0.239 2.826 1.038
N 2.598 3.586 6.887
N 0.239 6.032 6.887
O 2.598 3.892 2.874
O 0.239 5.726 2.874
O 2.598 0.686 5.050
O 0.239 2.520 5.050
Zr 0.239 3.576 3.086
Zr 2.598 6.041 3.086
Zr 0.239 0.370 4.838
Zr 2.598 2.836 4.838
```

Total magnetization, μB per atom: 0.00

***

b | A geometry-optimized ErZrNO structure, computed with GGA-PBE.

Structure (extended XYZ):
```
8
Lattice="-1.640 1.331 -3.185 -4.022 0.472 2.268 1.728 6.318 1.751" Properties=species:S:1:pos:R:3 pbc="T T T"
Er -4.308 2.156 0.826
Er -1.142 6.143 0.862
N -3.181 2.611 2.729
N -0.628 4.357 2.144
O -2.280 1.982 -0.291
O -3.170 6.316 1.979
Zr -1.166 2.390 1.599
Zr -2.644 4.577 3.274
```

Total magnetization, μB per atom: 0.00

***

Which of them is most stable? Easy: b.

***

a | A geometry-optimized Na2Er structure, computed with GGA-PBE.

Structure (extended XYZ):
```
3
Lattice="1.225 -5.059 1.597 -3.048 -2.477 3.770 -3.225 -4.155 -1.406" Properties=species:S:1:pos:R:3 pbc="T T T"
Er 0.000 0.000 0.000
Na -1.262 -2.923 0.990
Na -3.786 -8.768 2.971
```

Total magnetization, μB per atom: 0.00

***

b | A geometry-optimized Na2Er structure, computed with GGA-PBE.

Structure (extended XYZ):
```
12
Lattice="-4.452 4.489 0.863 1.671 -3.809 4.840 7.099 6.524 2.684" Properties=species:S:1:pos:R:3 pbc="T T T"
Er -1.967 2.132 2.357
Er 0.694 4.577 3.363
Er 3.623 2.628 5.024
Er 6.284 5.073 6.030
Na 0.000 0.000 0.000
Na 1.584 1.093 2.484
Na 2.392 -0.751 4.827
Na 0.237 1.422 5.244
Na 3.549 3.262 1.342
Na 4.080 5.782 3.142
Na 1.925 7.955 3.560
Na 2.734 6.112 5.902
```

Total magnetization, μB per atom: 0.00

***

Which of them is most stable? Easy: b.

***

a | A geometry-optimized NaErPO structure, computed with GGA-PBE.

Structure (extended XYZ):
```
8
Lattice="-2.793 -1.111 2.646 4.398 -0.181 4.566 -1.001 5.317 1.175" Properties=species:S:1:pos:R:3 pbc="T T T"
Er 3.190 0.206 3.454
Er 0.579 2.951 1.850
Na -0.916 -0.239 1.963
Na 1.892 2.283 5.986
O 4.079 1.493 4.933
O -0.813 4.332 0.961
P 0.490 1.011 3.972
P -0.011 3.669 4.560
```

Total magnetization, μB per atom: 0.00

***

b | A geometry-optimized NaErPO structure, computed with GGA-PBE.

Structure (extended XYZ):
```
8
Lattice="-5.200 0.342 1.655 -0.639 -5.355 -0.899 1.399 -0.937 4.589" Properties=species:S:1:pos:R:3 pbc="T T T"
Er 0.700 -0.469 2.294
Er -2.220 -2.975 2.672
Na -0.312 -2.683 -0.424
Na -1.208 -0.761 5.391
O 0.000 0.000 0.000
O -2.919 -2.506 0.378
P -1.909 -0.292 3.095
P 0.389 -3.152 1.872
```

Total magnetization, μB per atom: 0.22

***

Which of them is most stable? Easy: a.

***

a | A geometry-optimized NaErPO structure, computed with GGA-PBE.

Structure (extended XYZ):
```
8
Lattice="3.821 0.000 0.000 0.000 3.821 0.000 0.000 0.000 10.035" Properties=species:S:1:pos:R:3 pbc="T T T"
Er 0.000 1.910 1.106
Er 1.910 0.000 8.929
Na 0.000 0.000 5.018
Na 1.910 1.910 5.018
O 0.000 0.000 0.000
O 1.910 1.910 0.000
P 1.910 0.000 2.915
P 0.000 1.910 7.120
```

Total magnetization, μB per atom: 0.00

***

b | A geometry-optimized NaErPO structure, computed with GGA-PBE.

Structure (extended XYZ):
```
8
Lattice="3.560 0.000 0.000 0.000 7.871 0.000 0.000 0.000 5.870" Properties=species:S:1:pos:R:3 pbc="T T T"
Er 0.000 1.405 2.456
Er 0.000 6.467 5.391
Na 1.780 3.349 0.212
Na 1.780 4.522 3.147
O 1.780 2.496 2.308
O 1.780 5.376 5.243
P 0.000 6.554 2.385
P 0.000 1.318 5.320
```

Total magnetization, μB per atom: 0.00

***

Which of them is most stable? Easy: a.

***

a | A geometry-optimized NaErOs structure, computed with GGA-PBE.

Structure (extended XYZ):
```
3
Lattice="3.995 2.339 0.589 0.336 3.240 3.342 2.637 -0.797 3.766" Properties=species:S:1:pos:R:3 pbc="T T T"
Er 1.742 1.195 1.924
Na 5.226 3.586 5.773
Os 0.000 0.000 0.000
```

Total magnetization, μB per atom: 0.00

***

b | A geometry-optimized NaErOs structure, computed with GGA-PBE.

Structure (extended XYZ):
```
3
Lattice="0.000 3.286 3.286 3.286 0.000 3.286 3.286 3.286 0.000" Properties=species:S:1:pos:R:3 pbc="T T T"
Er 0.000 0.000 0.000
Na 1.643 1.643 1.643
Os 4.930 4.930 4.930
```

Total magnetization, μB per atom: 0.03

***

Which of them is most stable? Easy: a.

***

a | A geometry-optimized NaSrErS3 structure, computed with GGA-PBE.

Structure (extended XYZ):
```
12
Lattice="-1.341 1.592 7.221 -3.967 -0.562 -0.613 1.497 -9.844 -0.667" Properties=species:S:1:pos:R:3 pbc="T T T"
Er -2.830 -3.520 1.441
Er -0.981 -5.294 4.501
Na -0.989 -0.859 0.491
Na -2.821 -7.955 5.451
S -3.295 -0.425 1.614
S -0.556 -3.363 -0.018
S -1.188 -2.821 3.574
S -2.623 -5.993 2.367
S -3.255 -5.451 5.959
S -0.516 -8.389 4.328
Sr -3.633 -1.197 4.511
Sr -0.178 -7.617 1.430
```

Total magnetization, μB per atom: 0.00

***

b | A geometry-optimized NaSrErS3 structure, computed with GGA-PBE.

Structure (extended XYZ):
```
12
Lattice="8.502 -1.993 0.000 8.502 1.993 0.000 -2.237 0.000 8.399" Properties=species:S:1:pos:R:3 pbc="T T T"
Er 2.630 0.000 0.726
Er 12.136 0.000 7.673
Na 8.098 0.000 1.705
Na 6.669 0.000 6.694
S 0.000 0.000 0.000
S 5.315 0.000 1.131
S 10.840 0.000 2.591
S 7.383 0.000 4.200
S 3.926 0.000 5.809
S 9.451 0.000 7.269
Sr 13.723 0.000 3.642
Sr 1.043 0.000 4.758
```

Total magnetization, μB per atom: 0.00

***

Which of them is most stable? Easy: b.